Nd3YO6: optimized geometry, PBE-GGA.

Output
Total magnetic moment in μB per atom: 0.0000
ΔE_f (raw) in meV per atom: -3409.7

CIF file:
```
data_Nd3YO6
_symmetry_space_group_name_H-M 'R -3'
_symmetry_Int_Tables_number 148
_symmetry_space_group_name_Hall '-R 3'
_cell_length_a 10.0136
_cell_length_b 10.0136
_cell_length_c 11.6947
_cell_angle_alpha 90.00
_cell_angle_beta 90.00
_cell_angle_gamma 120.00
loop_
_atom_site_label
_atom_site_type_symbol
_atom_site_fract_x
_atom_site_fract_y
_atom_site_fract_z
Nd1 Nd 0.0387 0.2659 0.2094
Y1 Y 0.0000 0.0000 0.0000
Y2 Y 0.0000 0.0000 0.5000
O1 O 0.0276 0.1854 0.8745
O2 O 0.0283 0.2148 0.4049
```